Below is a geometry-optimized Ca3CuRh structure, with properties calculated at the GGA-PBEsol level.

Geometry as extended XYZ:
```
5
Lattice="5.3042 0.0000 0.0000 0.0000 5.3042 0.0000 0.0000 0.0000 5.3042" Properties=species:S:1:pos:R:3 pbc="T T T"
Ca 0.0000 0.0000 2.6521
Ca 0.0000 2.6521 0.0000
Ca 2.6521 0.0000 0.0000
Cu 2.6521 2.6521 2.6521
Rh 0.0000 0.0000 0.0000
```

The formation energy comes out at 0.13 eV/atom.